P:
DFT (PBEsol) results for a geometry-optimized MgCdOs2 structure.

```
data_MgCdOs2
_symmetry_space_group_name_H-M 'P m m 2'
_symmetry_Int_Tables_number 25
_symmetry_space_group_name_Hall 'P 2 -2'
_cell_length_a 2.846
_cell_length_b 3.651
_cell_length_c 6.223
_cell_angle_alpha 90.00
_cell_angle_beta 90.00
_cell_angle_gamma 90.00
loop_
_atom_site_label
_atom_site_fract_x
_atom_site_fract_y
_atom_site_fract_z
Mg1 0.000 0.000 0.000
Cd1 0.500 0.500 0.727
Os1 0.000 0.000 0.447
Os2 0.500 0.500 0.257
```

Properties
Density of states at the Fermi level in states/eV/atom: 0.490
Crystal system: orthorhombic

Q:
DFT (PBEsol) results for a geometry-optimized MgCdOs2 structure.

```
data_MgCdOs2
_symmetry_space_group_name_H-M 'I m m m'
_symmetry_Int_Tables_number 71
_symmetry_space_group_name_Hall '-I 2 2'
_cell_length_a 2.932
_cell_length_b 4.573
_cell_length_c 9.327
_cell_angle_alpha 90.00
_cell_angle_beta 90.00
_cell_angle_gamma 90.00
loop_
_atom_site_label
_atom_site_fract_x
_atom_site_fract_y
_atom_site_fract_z
Mg1 0.000 0.000 0.000
Cd1 0.000 0.000 0.500
Os1 0.000 0.500 0.253
```

Properties
Density of states at the Fermi level in states/eV/atom: 0.848
Crystal system: orthorhombic

Verdict on stability: P comes out on top.

P:
DFT (PBEsol) results for a geometry-optimized MgCdOs2 structure.

```
data_MgCdOs2
_symmetry_space_group_name_H-M 'P 4 m m'
_symmetry_Int_Tables_number 99
_symmetry_space_group_name_Hall 'P 4 -2'
_cell_length_a 2.846
_cell_length_b 2.846
_cell_length_c 8.122
_cell_angle_alpha 90.00
_cell_angle_beta 90.00
_cell_angle_gamma 90.00
loop_
_atom_site_label
_atom_site_fract_x
_atom_site_fract_y
_atom_site_fract_z
Mg1 0.000 0.000 0.000
Cd1 0.500 0.500 0.700
Os1 0.000 0.000 0.438
Os2 0.500 0.500 0.241
```

Properties
Density of states at the Fermi level in states/eV/atom: 0.532
Crystal system: tetragonal

Q:
DFT (PBEsol) results for a geometry-optimized MgCdOs2 structure.

```
data_MgCdOs2
_symmetry_space_group_name_H-M 'C 1 2/m 1'
_symmetry_Int_Tables_number 12
_symmetry_space_group_name_Hall '-C 2y'
_cell_length_a 5.412
_cell_length_b 9.312
_cell_length_c 2.741
_cell_angle_alpha 90.00
_cell_angle_beta 114.97
_cell_angle_gamma 90.00
loop_
_atom_site_label
_atom_site_fract_x
_atom_site_fract_y
_atom_site_fract_z
Mg1 0.000 0.000 0.000
Cd1 0.000 0.500 0.000
Os1 0.250 0.250 0.500
```

Properties
Density of states at the Fermi level in states/eV/atom: 0.958
Crystal system: monoclinic

R:
DFT (PBEsol) results for a geometry-optimized MgCdOs2 structure.

```
data_MgCdOs2
_symmetry_space_group_name_H-M 'P m m m'
_symmetry_Int_Tables_number 47
_symmetry_space_group_name_Hall '-P 2 2'
_cell_length_a 2.941
_cell_length_b 4.579
_cell_length_c 4.640
_cell_angle_alpha 90.00
_cell_angle_beta 90.00
_cell_angle_gamma 90.00
loop_
_atom_site_label
_atom_site_fract_x
_atom_site_fract_y
_atom_site_fract_z
Mg1 0.000 0.000 0.000
Cd1 0.500 0.500 0.000
Os1 0.000 0.500 0.500
Os2 0.500 0.000 0.500
```

Properties
Density of states at the Fermi level in states/eV/atom: 0.921
Crystal system: orthorhombic

S:
DFT (PBEsol) results for a geometry-optimized MgCdOs2 structure.

```
data_MgCdOs2
_symmetry_space_group_name_H-M 'I -4 m 2'
_symmetry_Int_Tables_number 119
_symmetry_space_group_name_Hall 'I -4 -2'
_cell_length_a 4.337
_cell_length_b 4.337
_cell_length_c 6.603
_cell_angle_alpha 90.00
_cell_angle_beta 90.00
_cell_angle_gamma 90.00
loop_
_atom_site_label
_atom_site_fract_x
_atom_site_fract_y
_atom_site_fract_z
Mg1 0.000 0.000 0.000
Cd1 0.000 0.500 0.250
Os1 0.000 0.000 0.500
Os2 0.000 0.500 0.750
```

Properties
Density of states at the Fermi level in states/eV/atom: 0.653
Crystal system: tetragonal

Verdict on stability: P comes out on top.

P:
DFT (PBEsol) results for a geometry-optimized Mg2CdP structure.

```
data_Mg2CdP
_symmetry_space_group_name_H-M 'C 1 2/m 1'
_symmetry_Int_Tables_number 12
_symmetry_space_group_name_Hall '-C 2y'
_cell_length_a 6.826
_cell_length_b 3.915
_cell_length_c 6.898
_cell_angle_alpha 90.00
_cell_angle_beta 108.59
_cell_angle_gamma 90.00
loop_
_atom_site_label
_atom_site_fract_x
_atom_site_fract_y
_atom_site_fract_z
Mg1 0.227 0.000 0.184
Cd1 0.000 0.000 0.500
P1 0.000 0.500 0.000
```

Properties
Density of states at the Fermi level in states/eV/atom: 0.310
Crystal system: monoclinic

Q:
DFT (PBEsol) results for a geometry-optimized Mg2CdP structure.

```
data_Mg2CdP
_symmetry_space_group_name_H-M 'A m m 2'
_symmetry_Int_Tables_number 38
_symmetry_space_group_name_Hall 'A 2 -2'
_cell_length_a 3.754
_cell_length_b 3.909
_cell_length_c 10.843
_cell_angle_alpha 90.00
_cell_angle_beta 90.00
_cell_angle_gamma 90.00
loop_
_atom_site_label
_atom_site_fract_x
_atom_site_fract_y
_atom_site_fract_z
Mg1 0.000 0.000 0.000
Mg2 0.500 0.000 0.311
Cd1 0.500 0.000 0.591
P1 0.000 0.000 0.765
```

Properties
Density of states at the Fermi level in states/eV/atom: 0.220
Crystal system: orthorhombic

Verdict on stability: Q comes out on top.

P:
DFT (PBEsol) results for a geometry-optimized MgCd2Rh2 structure.

```
data_MgCd2Rh2
_symmetry_space_group_name_H-M 'P 4/m b m'
_symmetry_Int_Tables_number 127
_symmetry_space_group_name_Hall '-P 4 2ab'
_cell_length_a 6.730
_cell_length_b 6.730
_cell_length_c 3.876
_cell_angle_alpha 90.00
_cell_angle_beta 90.00
_cell_angle_gamma 90.00
loop_
_atom_site_label
_atom_site_fract_x
_atom_site_fract_y
_atom_site_fract_z
Mg1 0.000 0.000 0.000
Cd1 0.162 0.338 0.500
Rh1 0.136 0.636 0.000
```

Properties
Density of states at the Fermi level in states/eV/atom: 0.488
Crystal system: tetragonal

Q:
DFT (PBEsol) results for a geometry-optimized MgCd2Rh2 structure.

```
data_MgCd2Rh2
_symmetry_space_group_name_H-M 'I 4/m m m'
_symmetry_Int_Tables_number 139
_symmetry_space_group_name_Hall '-I 4 2'
_cell_length_a 3.771
_cell_length_b 3.771
_cell_length_c 13.139
_cell_angle_alpha 90.00
_cell_angle_beta 90.00
_cell_angle_gamma 90.00
loop_
_atom_site_label
_atom_site_fract_x
_atom_site_fract_y
_atom_site_fract_z
Mg1 0.000 0.000 0.000
Cd1 0.000 0.000 0.396
Rh1 0.000 0.500 0.250
```

Properties
Density of states at the Fermi level in states/eV/atom: 1.148
Crystal system: tetragonal

Verdict on stability: P comes out on top.

P:
DFT (PBEsol) results for a geometry-optimized MgCdRu structure.

```
data_MgCdRu
_symmetry_space_group_name_H-M 'F -4 3 m'
_symmetry_Int_Tables_number 216
_symmetry_space_group_name_Hall 'F -4 2 3'
_cell_length_a 6.077
_cell_length_b 6.077
_cell_length_c 6.077
_cell_angle_alpha 90.00
_cell_angle_beta 90.00
_cell_angle_gamma 90.00
loop_
_atom_site_label
_atom_site_fract_x
_atom_site_fract_y
_atom_site_fract_z
Mg1 0.000 0.000 0.000
Cd1 0.250 0.250 0.250
Ru1 0.250 0.250 0.750
```

Properties
Density of states at the Fermi level in states/eV/atom: 1.021
Crystal system: cubic

Q:
DFT (PBEsol) results for a geometry-optimized MgCdRu structure.

```
data_MgCdRu
_symmetry_space_group_name_H-M 'I m m 2'
_symmetry_Int_Tables_number 44
_symmetry_space_group_name_Hall 'I 2 -2'
_cell_length_a 2.783
_cell_length_b 4.175
_cell_length_c 8.565
_cell_angle_alpha 90.00
_cell_angle_beta 90.00
_cell_angle_gamma 90.00
loop_
_atom_site_label
_atom_site_fract_x
_atom_site_fract_y
_atom_site_fract_z
Mg1 0.000 0.000 0.000
Cd1 0.000 0.000 0.323
Ru1 0.000 0.000 0.658
```

Properties
Density of states at the Fermi level in states/eV/atom: 0.803
Crystal system: orthorhombic

Verdict on stability: Q comes out on top.